No. 1
{"formula": "Dy2HoTmMg2", "functional": "PBE", "state": "optimized geometry", "space_group": "No. 38", "total_energy_ev_per_cell": -21.7, "m_tot_mub_per_fu": 0.0, "cell": [[5.4416, 0.0000, 0.0000], [0.0000, 1.8183, 8.5727], [0.0000, -1.8183, 8.5727]], "species": ["Dy", "Dy", "Ho", "Tm", "Mg", "Mg"], "frac_coords": [[0.0000, 0.0000, 0.0000], [0.5000, 0.1874, 0.1874], [0.0000, 0.3201, 0.3201], [0.5000, 0.8673, 0.8673], [0.0000, 0.6588, 0.6588], [0.5000, 0.5284, 0.5284]]}


No. 2
{"formula": "DyHo2TmMg2", "functional": "PBE", "state": "optimized geometry", "space_group": "No. 38", "total_energy_ev_per_cell": -21.7, "m_tot_mub_per_fu": 0.0, "cell": [[5.4314, 0.0000, 0.0000], [0.0000, 1.8181, 8.5619], [0.0000, -1.8181, 8.5619]], "species": ["Dy", "Ho", "Ho", "Tm", "Mg", "Mg"], "frac_coords": [[0.0000, 0.0000, 0.0000], [0.0000, 0.3199, 0.3199], [0.5000, 0.8671, 0.8671], [0.5000, 0.1874, 0.1874], [0.0000, 0.6588, 0.6588], [0.5000, 0.5286, 0.5286]]}


No. 3
{"formula": "DyHoMo", "functional": "PBE", "state": "optimized geometry", "space_group": "No. 216", "total_energy_ev_per_cell": -16.3, "m_tot_mub_per_fu": 1.9, "delta_e_f_ev_per_atom": 1.23, "cell": [[0.0000, 3.4658, 3.4658], [3.4658, 0.0000, 3.4658], [3.4658, 3.4658, 0.0000]], "species": ["Dy", "Ho", "Mo"], "frac_coords": [[0.0000, 0.0000, 0.0000], [0.2500, 0.2500, 0.2500], [0.5000, 0.5000, 0.5000]]}